# Hg2BiBr

A relaxed Hg2BiBr crystal (PBE, the Alexandria database).

abc: 3.695 3.695 10.741
angles: 80.10 80.10 60.00
Positions (direct):
1 Br 0.500 0.500 0.500
2 Bi 0.000 0.000 0.000
3 Hg 0.095 0.095 0.715
4 Hg 0.905 0.905 0.285

- formation energy without anion corrections (eV/atom) = -0.0719
- excess energy over the best structure of this formula in the dataset (meV/atom) = 26
- magnetization (μB per cell) = 0.00